Mg2CrNi PBE optimized geometry; D(E_F) = 11.61 states/eV per cell; polymorph energy (0 for the lowest one) = 2.36 eV per formula unit; energy of formation from the pure elements = 3.11 eV per formula unit
1.0
-3.5089 3.5089 2.5977
3.5089 -3.5089 2.5977
3.5089 3.5089 -2.5977
Mg Cr Ni
4 2 2
Cartesian
5.2634 1.5695 -0.6494 Mg
1.5695 1.7545 0.6494 Mg
-1.7545 1.9394 1.9483 Mg
1.9394 1.7545 3.2472 Mg
3.5089 0.0000 1.2989 Cr
0.0000 0.0000 2.5977 Cr
0.0000 0.0000 0.0000 Ni
0.0000 3.5089 1.2989 Ni

Pu4Sb3As PBE optimized geometry; D(E_F) = 101.86 states/eV per cell; polymorph energy (0 for the lowest one) = 0.00 eV per formula unit; formation energy without anion corrections = -663 meV/atom
1.0
7.5527 0.0000 0.0000
0.0000 8.7447 0.0000
-2.5341 0.0000 7.0772
Pu Sb As
8 6 2
Cartesian
1.7653 1.0232 0.0108 Pu
0.4983 7.7215 3.5494 Pu
0.5902 3.2065 3.4772 Pu
-0.6769 5.5382 7.0158 Pu
5.6954 3.2065 0.0614 Pu
4.4284 5.5382 3.6000 Pu
4.5203 1.0232 3.5278 Pu
3.2532 7.7215 7.0665 Pu
-1.9006 3.2810 5.3079 Sb
-0.6335 5.4637 1.7693 Sb
1.8757 1.0887 5.3079 Sb
3.1428 3.2919 1.7693 Sb
1.8757 5.4528 5.3079 Sb
3.1428 7.6559 1.7693 Sb
-0.6335 1.0778 1.7693 As
-1.9006 7.6669 5.3079 As

ZnNiBr PBE optimized geometry; D(E_F) = 0.50 states/eV per cell; polymorph energy (0 for the lowest one) = 0.48 eV per formula unit; formation energy without anion corrections = -78 meV/atom
1.0
-1.9327 4.9067 3.1025
1.9327 -4.9067 3.1025
1.9327 4.9067 -3.1025
Zn Ni Br
2 2 2
Cartesian
0.0000 0.0000 0.0000 Zn
0.0000 4.9067 0.9453 Zn
1.9327 3.5436 1.1304 Ni
0.0000 1.3631 4.2329 Ni
1.9327 2.9579 -1.2696 Br
0.0000 1.9488 1.8329 Br

LiZr2SbH PBE optimized geometry; final energy = -5.77 eV/atom; D(E_F) = 2.32 states/eV per cell
1.0
4.3133 0.0000 0.0000
0.0000 4.3133 0.0000
0.0000 0.0000 4.4663
Li Zr Sb H
1 2 1 1
Cartesian
0.0000 0.0000 0.0000 Li
0.0000 2.1567 2.2332 Zr
2.1567 0.0000 2.2332 Zr
2.1567 2.1567 0.0000 Sb
0.0000 0.0000 2.2332 H

no.,size of the total moment (μB per formula unit)
1,0.0
2,0.1
3,0.0
4,0.0